In2AgPbI5 | GGA-PBE | optimized geometry

M_tot ... 0.00 μB/cell
Crystal system ... orthorhombic
E ... -2.668 eV/atom

Cell lengths 4.685, 20.505, 15.117 Å; angles 90.00, 90.00, 90.00 degrees
Space group Cmc2_1 (No. 36)
Asymmetric unit:
1 In 0.000 0.094 0.000
2 In 0.000 0.126 0.655
3 Ag 0.000 0.442 0.764
4 Pb 0.000 0.208 0.359
5 I 0.000 0.045 0.370
6 I 0.000 0.285 0.008
7 I 0.000 0.303 0.708
8 I 0.000 0.363 0.335
9 I 0.000 0.493 0.100

Nd3TmSb4 | GGA-PBE | optimized geometry

M_tot ... 0.00 μB/cell
Crystal system ... orthorhombic
E ... -5.558 eV/atom

Cell lengths 8.953, 12.670, 4.484 Å; angles 90.00, 90.00, 90.00 degrees
Space group Cmmm (No. 65)
Asymmetric unit:
1 Nd 0.000 0.000 0.000
2 Nd 0.250 0.250 0.500
3 Tm 0.000 0.500 0.000
4 Sb 0.000 0.254 0.000
5 Sb 0.242 0.500 0.500

Number 1 is which compound?
In2AgPbI5

Among the records above, which one has the lowest E?
Nd3TmSb4

E of number 1 (In2AgPbI5)?
-2.668 eV/atom

Which value of E does entry 1 give?
-2.668 eV/atom